4
Lattice="1.902 1.098 6.608 -1.902 1.098 6.608 0.000 -2.196 6.608" Properties=species:S:1:pos:R:3 comment="PBE CaLaO2, relaxed" relative_energy_ev_per_fu=0.21 magnetic_moment_mub_per_atom=0.000 mass_density_g_cm3=4.23 e_form_raw_ev_per_atom=-2.76 pbc="T T T"
Ca 0.000 0.000 0.000
La 0.000 0.000 9.911
O 0.000 0.000 2.197
O 0.000 0.000 17.626

***

12
Lattice="5.989 0.000 0.000 -2.994 5.186 0.000 0.000 0.000 7.019" Properties=species:S:1:pos:R:3 comment="PBE CaLaOs2O8, relaxed" magnetic_moment_mub_per_atom=0.251 mass_density_g_cm3=5.24 e_form_raw_ev_per_atom=-1.62 pbc="T T T"
Ca 0.000 0.000 0.000
La 0.000 0.000 3.509
Os 0.000 3.457 5.800
Os 2.994 1.729 1.219
O 0.000 1.697 5.210
O -1.524 4.338 5.210
O 1.470 0.849 1.809
O 0.000 3.457 0.557
O 2.994 1.729 6.462
O 1.524 4.338 5.210
O 4.519 0.849 1.809
O 2.994 3.489 1.809

***

12
Lattice="3.501 -3.650 0.000 3.501 3.650 0.000 0.000 0.000 7.080" Properties=species:S:1:pos:R:3 comment="PBE Ca2LaOsO8, relaxed" magnetic_moment_mub_per_atom=0.022 mass_density_g_cm3=4.93 e_form_raw_ev_per_atom=-2.05 pbc="T T T"
Ca 0.000 0.000 1.678
Ca 0.000 0.000 5.402
La 3.501 0.000 3.540
Os 3.501 0.000 0.000
O 1.325 0.000 3.540
O 1.642 0.000 0.000
O 3.501 1.295 1.364
O 3.501 1.295 5.715
O 3.501 -1.295 1.364
O 3.501 -1.295 5.715
O 5.359 0.000 0.000
O 5.677 0.000 3.540

***

5
Lattice="5.163 0.000 0.000 0.000 5.163 0.000 0.000 0.000 4.312" Properties=species:S:1:pos:R:3 comment="PBE CaLaP2O, relaxed" relative_energy_ev_per_fu=0.48 magnetic_moment_mub_per_atom=0.246 mass_density_g_cm3=3.71 e_form_raw_ev_per_atom=-0.58 pbc="T T T"
Ca 0.000 0.000 0.000
La 2.581 2.581 2.156
P 0.000 2.581 0.000
P 2.581 0.000 0.000
O 0.000 0.000 2.156

***

5
Lattice="4.602 0.000 0.000 0.000 4.602 0.000 0.000 0.000 5.110" Properties=species:S:1:pos:R:3 comment="PBE Ca2LaPO, relaxed" magnetic_moment_mub_per_atom=0.001 mass_density_g_cm3=4.08 e_form_raw_ev_per_atom=-1.45 pbc="T T T"
Ca 0.000 2.301 0.000
Ca 2.301 0.000 0.000
La 0.000 0.000 2.555
P 2.301 2.301 2.555
O 0.000 0.000 0.000

***

5
Lattice="5.683 0.000 0.000 0.000 5.683 0.000 0.000 0.000 4.262" Properties=species:S:1:pos:R:3 comment="PBE CaLaP2O, relaxed" relative_energy_ev_per_fu=0.00 magnetic_moment_mub_per_atom=0.307 mass_density_g_cm3=3.10 e_form_raw_ev_per_atom=-0.68 pbc="T T T"
Ca 0.000 0.000 0.000
La 2.842 2.842 2.131
P 0.000 2.842 2.131
P 2.842 0.000 2.131
O 2.842 2.842 0.000

***

11
Lattice="-2.492 2.492 13.042 2.492 -2.492 13.042 2.492 2.492 -13.042" Properties=species:S:1:pos:R:3 comment="PBE Ca2La4Pb3O2, relaxed" magnetic_moment_mub_per_atom=0.000 mass_density_g_cm3=6.61 e_form_raw_ev_per_atom=-1.40 pbc="T T T"
Ca 0.000 0.000 5.163
Ca 0.000 0.000 20.921
La 2.492 0.000 2.321
La 2.492 0.000 10.721
La 0.000 2.492 2.321
La 0.000 2.492 10.721
Pb 0.000 0.000 8.426
Pb 0.000 0.000 13.042
Pb 0.000 0.000 17.659
O 0.000 0.000 2.684
O 0.000 0.000 23.400

***

5
Lattice="4.571 0.000 0.000 0.000 4.571 0.000 0.000 0.000 5.403" Properties=species:S:1:pos:R:3 comment="PBE Ca2LaPdO, relaxed" magnetic_moment_mub_per_atom=0.000 mass_density_g_cm3=5.02 e_form_raw_ev_per_atom=-1.40 pbc="T T T"
Ca 0.000 2.286 0.000
Ca 2.286 0.000 0.000
La 0.000 0.000 2.701
Pd 2.286 2.286 2.701
O 0.000 0.000 0.000

***

5
Lattice="5.044 0.000 0.000 0.000 5.044 0.000 0.000 0.000 4.553" Properties=species:S:1:pos:R:3 comment="PBE CaLa2PtO, relaxed" magnetic_moment_mub_per_atom=0.000 mass_density_g_cm3=7.58 e_form_raw_ev_per_atom=-1.47 pbc="T T T"
Ca 0.000 0.000 0.000
La 0.000 2.522 2.276
La 2.522 0.000 2.276
Pt 2.522 2.522 0.000
O 0.000 0.000 2.276

***

20
Lattice="5.723 0.000 0.000 0.000 5.999 0.000 -5.635 0.000 8.231" Properties=species:S:1:pos:R:3 comment="PBE CaLa2PtO6, relaxed" magnetic_moment_mub_per_atom=0.000 mass_density_g_cm3=7.16 e_form_raw_ev_per_atom=-2.53 pbc="T T T"
Ca 0.000 0.000 0.000
Ca -2.818 3.000 4.116
La -2.690 0.352 6.162
La 0.128 2.647 2.047
La -0.040 3.352 6.184
La 2.778 5.647 2.069
Pt 0.044 0.000 4.116
Pt 2.862 3.000 0.000
O -0.637 0.287 2.195
O -3.455 2.713 6.310
O 1.202 4.120 0.458
O -1.616 4.879 4.574
O 1.841 1.285 0.530
O -0.976 1.715 4.646
O 1.064 4.285 3.585
O -1.753 4.714 7.701
O 1.703 1.120 3.657
O -1.114 1.880 7.773
O 3.542 3.287 1.921
O 0.725 5.712 6.036

***

5
Lattice="4.531 0.000 0.000 0.000 4.531 0.000 0.000 0.000 5.346" Properties=species:S:1:pos:R:3 comment="PBE Ca2LaPtO, relaxed" magnetic_moment_mub_per_atom=0.000 mass_density_g_cm3=6.51 e_form_raw_ev_per_atom=-1.55 pbc="T T T"
Ca 0.000 2.266 0.000
Ca 2.266 0.000 0.000
La 0.000 0.000 2.673
Pt 2.266 2.266 2.673
O 0.000 0.000 0.000

***

20
Lattice="5.719 0.000 0.000 0.000 5.969 0.000 -5.579 0.000 8.258" Properties=species:S:1:pos:R:3 comment="PBE Ca2LaPtO6, relaxed" magnetic_moment_mub_per_atom=0.102 mass_density_g_cm3=6.01 e_form_raw_ev_per_atom=-2.19 pbc="T T T"
Ca -0.087 0.332 2.095
Ca -2.876 2.653 6.224
Ca 3.016 3.316 2.034
Ca 0.226 5.638 6.163
La 2.859 0.000 0.000
La 0.070 2.985 4.129
Pt -2.790 0.000 4.129
Pt 0.000 2.985 0.000
O -4.605 1.332 7.623
O -1.815 1.653 3.494
O -3.975 4.083 7.758
O -1.186 4.871 3.629
O -2.034 0.373 5.976
O 0.755 2.612 1.847
O -0.616 3.357 6.411
O 2.174 5.596 2.282
O 1.325 1.098 4.629
O 4.115 1.886 0.500
O 1.954 4.316 4.764
O 4.744 4.638 0.635

***

18
Lattice="6.851 0.000 0.000 0.000 6.851 0.000 0.000 0.000 5.874" Properties=species:S:1:pos:R:3 comment="PBE CaLa2PtO5, relaxed" magnetic_moment_mub_per_atom=0.000 mass_density_g_cm3=7.14 e_form_raw_ev_per_atom=-2.54 pbc="T T T"
Ca 0.000 0.000 0.000
Ca 3.425 3.425 0.000
La 1.193 2.232 2.937
La 2.232 5.657 2.937
La 4.619 1.193 2.937
La 5.657 4.619 2.937
Pt 0.000 3.425 0.000
Pt 3.425 0.000 0.000
O 0.000 0.000 2.937
O 1.014 4.440 1.414
O 1.014 4.440 4.459
O 2.411 1.014 1.414
O 2.411 1.014 4.459
O 3.425 3.425 2.937
O 4.440 5.837 1.414
O 4.440 5.837 4.459
O 5.837 2.411 1.414
O 5.837 2.411 4.459

***

10
Lattice="3.035 1.752 5.105 -3.035 1.752 5.105 0.000 -3.504 5.105" Properties=species:S:1:pos:R:3 comment="PBE CaLa2PuO6, relaxed" magnetic_moment_mub_per_atom=0.400 mass_density_g_cm3=6.71 e_form_raw_ev_per_atom=-3.20 pbc="T T T"
Ca 0.000 0.000 0.000
La 0.000 0.000 4.179
La 0.000 0.000 11.893
Pu 0.000 0.000 7.578
O -1.692 0.103 6.120
O -1.233 -1.573 8.594
O 0.757 -1.517 6.120
O -0.746 1.854 8.594
O 0.935 1.414 6.120
O 1.979 -0.281 8.594

***

12
Lattice="4.205 0.000 0.000 0.000 7.634 0.000 -0.659 0.000 5.516" Properties=species:S:1:pos:R:3 comment="PBE CaLa2PuO8, relaxed" magnetic_moment_mub_per_atom=0.001 mass_density_g_cm3=6.47 e_form_raw_ev_per_atom=-2.78 pbc="T T T"
Ca 0.000 0.000 0.000
La 1.773 1.870 2.758
La 1.773 5.764 2.758
Pu 0.000 3.817 0.000
O -0.294 2.257 4.260
O -0.294 5.377 4.260
O 1.636 3.817 1.156
O 1.844 0.000 1.401
O 1.703 0.000 4.114
O 1.910 3.817 4.360
O 3.841 2.257 1.256
O 3.841 5.377 1.256

***

10
Lattice="2.968 1.714 5.140 -2.968 1.714 5.140 0.000 -3.428 5.140" Properties=species:S:1:pos:R:3 comment="PBE Ca2LaPuO6, relaxed" magnetic_moment_mub_per_atom=0.300 mass_density_g_cm3=5.92 e_form_raw_ev_per_atom=-3.06 pbc="T T T"
Ca 0.000 0.000 0.000
Ca 0.000 0.000 7.580
La 0.000 0.000 3.352
Pu 0.000 0.000 10.886
O -1.084 -1.938 6.796
O -1.647 0.030 9.490
O -1.136 1.907 6.796
O 0.797 -1.441 9.490
O 2.220 0.030 6.796
O 0.850 1.411 9.490

***

12
Lattice="5.236 0.000 0.000 0.000 7.147 0.000 -0.121 0.000 5.235" Properties=species:S:1:pos:R:3 comment="PBE CaLa2ReO8, relaxed" magnetic_moment_mub_per_atom=0.085 mass_density_g_cm3=5.36 e_form_raw_ev_per_atom=-2.45 pbc="T T T"
Ca 0.000 0.000 0.000
La 2.558 1.767 2.618
La 2.558 5.380 2.618
Re 0.000 3.574 0.000
O 0.814 2.196 4.328
O 0.814 4.952 4.328
O 1.329 3.574 1.369
O 1.570 0.000 1.615
O 3.545 0.000 3.620
O 3.787 3.574 3.866
O 4.301 2.196 0.907
O 4.301 4.952 0.907

***

5
Lattice="5.229 0.000 0.000 0.000 5.229 0.000 0.000 0.000 4.516" Properties=species:S:1:pos:R:3 comment="PBE CaLaRe2O, relaxed" magnetic_moment_mub_per_atom=0.909 mass_density_g_cm3=7.63 e_form_raw_ev_per_atom=1.32 pbc="T T T"
Ca 0.000 0.000 0.000
La 2.615 2.615 2.258
Re 0.000 2.615 2.258
Re 2.615 0.000 2.258
O 2.615 2.615 0.000

***

5
Lattice="4.423 0.000 0.000 0.000 4.423 0.000 0.000 0.000 5.382" Properties=species:S:1:pos:R:3 comment="PBE CaLaReO2, relaxed" magnetic_moment_mub_per_atom=0.800 mass_density_g_cm3=6.26 e_form_raw_ev_per_atom=-0.06 pbc="T T T"
Ca 0.000 0.000 0.000
La 2.211 2.211 2.691
Re 0.000 0.000 2.691
O 0.000 2.211 0.000
O 2.211 0.000 0.000

***

20
Lattice="5.683 0.000 0.000 0.000 5.957 0.000 -5.528 0.000 8.232" Properties=species:S:1:pos:R:3 comment="PBE Ca2LaRhO6, relaxed" magnetic_moment_mub_per_atom=0.202 mass_density_g_cm3=4.98 e_form_raw_ev_per_atom=-2.23 pbc="T T T"
Ca -0.082 0.337 2.096
Ca -2.846 2.641 6.212
Ca 3.002 3.316 2.020
Ca 0.238 5.620 6.136
La 2.842 0.000 0.000
La 0.078 2.979 4.116
Rh -2.764 0.000 4.116
Rh 0.000 2.979 0.000
O -4.565 1.336 7.591
O -1.801 1.642 3.475
O -3.939 4.059 7.749
O -1.175 4.876 3.633
O -2.016 0.368 5.952
O 0.748 2.611 1.836
O -0.593 3.346 6.396
O 2.171 5.589 2.280
O 1.331 1.081 4.599
O 4.095 1.898 0.483
O 1.957 4.315 4.757
O 4.720 4.621 0.641